First-principles (PBE) data for an optimized crystal structure of LiCa2InHg4, as listed in the Alexandria database.

```
data_LiCa2InHg4
_chemical_formula_sum 'Li3 Ca6 In3 Hg12'
_space_group_name_H-M_alt 'R -3 m'
_space_group_IT_number 166
_space_group_name_Hall '-R 3 2"'
_cell_length_a 5.1724
_cell_length_b 5.1724
_cell_length_c 25.2252
_cell_angle_alpha 90.00
_cell_angle_beta 90.00
_cell_angle_gamma 120.00
loop_
_atom_site_label
_atom_site_fract_x
_atom_site_fract_y
_atom_site_fract_z
_atom_site_occupancy
Li1 0.0000 0.0000 0.0000 1
Ca1 0.0000 0.0000 0.2452 1
In1 0.0000 0.0000 0.5000 1
Hg1 0.0000 0.0000 0.1157 1
Hg2 0.0000 0.0000 0.3697 1
```

Energy of formation from the pure elements = -0.42 eV/atom
Magnetic moment = 0.0000 μB per atom
Total DFT energy (no corrections) = -0.1215 Ry/atom